(1)
K8Hg6Au (PBE-GGA, relaxed); formation enthalpy at 0 K = -0.1914 eV/atom; ρ = 4.267 Mg/m³
1.0
5.3899 3.1119 6.6256
-5.3899 3.1119 6.6256
0.0000 -6.2238 6.6256
K Hg Au
8 6 1
direct
0.1651 0.6593 0.3846 K
0.1758 0.1758 0.1758 K
0.3407 0.6154 0.8349 K
0.3846 0.1651 0.6593 K
0.6154 0.8349 0.3407 K
0.6593 0.3846 0.1651 K
0.8242 0.8242 0.8242 K
0.8349 0.3407 0.6154 K
0.0321 0.4327 0.8504 Hg
0.1496 0.9679 0.5673 Hg
0.4327 0.8504 0.0321 Hg
0.5673 0.1496 0.9679 Hg
0.8504 0.0321 0.4327 Hg
0.9679 0.5673 0.1496 Hg
0.5000 0.5000 0.5000 Au

---

(2)
K5Hg2Au2 (PBE-GGA, relaxed); formation enthalpy at 0 K = -0.2350 eV/atom; ρ = 4.765 Mg/m³
1.0
9.0408 -4.3705 0.0000
9.0408 4.3705 0.0000
0.0000 0.0000 8.7364
K Hg Au
10 4 4
direct
0.0000 0.0000 0.0000 K
0.0464 0.6975 0.6729 K
0.1975 0.5464 0.1729 K
0.3025 0.9536 0.6729 K
0.4536 0.8025 0.1729 K
0.5000 0.5000 0.5000 K
0.5464 0.1975 0.8271 K
0.6975 0.0464 0.3271 K
0.8025 0.4536 0.8271 K
0.9536 0.3025 0.3271 K
0.2149 0.2149 0.0000 Hg
0.2851 0.2851 0.5000 Hg
0.7149 0.7149 0.5000 Hg
0.7851 0.7851 0.0000 Hg
0.1169 0.8831 0.3834 Au
0.3831 0.6169 0.8834 Au
0.6169 0.3831 0.1166 Au
0.8831 0.1169 0.6166 Au